A plane-wave DFT calculation with GGA-PBEsol was carried out for an optimized crystal structure of TiAs.

Cell lengths 3.5953, 3.5953, 6.1075 Å; angles 90.00, 90.00, 120.00 degrees
Space group P6_3/mmc (No. 194)
One atom of each set of equivalent atoms:
Ti 0.0000 0.0000 0.0000 [2 per cell]
As 0.3333 0.6667 0.2500 [2 per cell]

## Properties
The volume comes out at 68.37 Å³/cell. For the total energy, the calculation gives -7.666 eV/atom. The theoretical density comes out at 5.964 g/cm³. The calculation puts the density of states at the Fermi level at 3.31 states/eV per cell.

A plane-wave DFT calculation with GGA-PBEsol was carried out for an optimized crystal structure of MnSi2Ru.

Cell lengths 4.032, 4.032, 2.839 Å; angles 90.00, 90.00, 90.00 degrees
Space group P4/mmm (No. 123)
One atom of each set of equivalent atoms:
Mn 0.000 0.000 0.000 [1 per cell]
Si 0.000 0.500 0.500 [2 per cell]
Ru 0.500 0.500 0.000 [1 per cell]

## Properties
The volume comes out at 46.16 Å³/cell. For the total energy, the calculation gives -8.395 eV/atom. The calculation puts the formation energy (no corrections) at -538 meV/atom. The theoretical density comes out at 7.634 g/cm³. The calculation puts the density of states at the Fermi level at 2.76 states/eV per cell.

A plane-wave DFT calculation with GGA-PBEsol was carried out for an optimized crystal structure of Ta2FePt.

Cell lengths 2.819, 2.819, 7.453 Å; angles 90.00, 90.00, 90.00 degrees
Space group P4/mmm (No. 123)
One atom of each set of equivalent atoms:
Ta 0.000 0.000 0.224 [2 per cell]
Fe 0.500 0.500 0.000 [1 per cell]
Pt 0.500 0.500 0.500 [1 per cell]

## Properties
The volume comes out at 59.23 Å³/cell. For the total energy, the calculation gives -10.636 eV/atom. The theoretical density comes out at 17.182 g/cm³. The calculation puts the density of states at the Fermi level at 2.65 states/eV per cell.

- What is the formula in the first record?
  TiAs